(1)
This record from Alexandria describes CoTeAu2 after structural relaxation. The functional is GGA-PBE.

Properties
total DFT energy (no corrections) = -3.790 eV per atom
size of the total moment = 2.07 μB/f.u.
formation energy from raw total energies = 1.64 eV/f.u.
SG = R-3m

Lattice parameters (Å, degrees): 9.9720 9.9720 9.9720 17.54 17.54 17.54
Closest atoms and distances in Å follow each position.
Sites, in units of the cell vectors:
1 Co 0.0000 0.0000 0.0000  6 Au 2.66
2 Te 0.5000 0.5000 0.5000  6 Te 3.04, 6 Au 3.40
3 Au 0.2655 0.2655 0.2655  3 Co 2.66
4 Au 0.7345 0.7345 0.7345  3 Co 2.66

(2)
This record from Alexandria describes NbCu2Ni2 after structural relaxation. The functional is GGA-PBE.

Properties
total DFT energy (no corrections) = -5.909 eV per atom
energy of formation from the pure elements = 0.056 eV/atom
size of the total moment = 0.00 μB/f.u.
SG = P4/mbm

Lattice parameters (Å, degrees): 6.9321 6.9321 2.6654 90.00 90.00 90.00
Closest atoms and distances in Å follow each position.
Sites, in units of the cell vectors:
1 Nb 0.0000 0.0000 0.0000  2 Nb 2.67, 4 Cu 2.75, 8 Ni 2.89
2 Nb 0.5000 0.5000 0.0000  2 Nb 2.67, 4 Cu 2.75, 8 Ni 2.89
3 Cu 0.1224 0.3776 0.0000  6 Ni 2.40-2.48, 3 Cu 2.40-2.67
4 Cu 0.3776 0.8776 0.0000  6 Ni 2.40-2.48, 3 Cu 2.40-2.67
5 Cu 0.6224 0.1224 0.0000  6 Ni 2.40-2.48, 3 Cu 2.40-2.67
6 Cu 0.8776 0.6224 0.0000  6 Ni 2.40-2.48, 3 Cu 2.40-2.67
7 Ni 0.1746 0.6746 0.5000  6 Cu 2.40-2.48, 2 Ni 2.67
8 Ni 0.3254 0.1746 0.5000  6 Cu 2.40-2.48, 2 Ni 2.67
9 Ni 0.6746 0.8254 0.5000  6 Cu 2.40-2.48, 2 Ni 2.67
10 Ni 0.8254 0.3254 0.5000  6 Cu 2.40-2.48, 2 Ni 2.67

(3)
This record from Alexandria describes CaMg2Ag after structural relaxation. The functional is GGA-PBE.

Properties
total DFT energy (no corrections) = -2.141 eV per atom
energy of formation from the pure elements = -0.130 eV/atom
size of the total moment = 0.00 μB/f.u.
SG = R3m

Lattice parameters (Å, degrees): 5.7099 5.7099 5.7099 50.62 50.62 50.62
Closest atoms and distances in Å follow each position.
Sites, in units of the cell vectors:
1 Ca 0.0000 0.0000 0.0000  4 Ag 3.08-3.39, 4 Mg 3.21-3.32
2 Mg 0.2153 0.2153 0.2153  3 Mg 3.07, 3 Ag 3.11, 4 Ca 3.21-3.32
3 Mg 0.4677 0.4677 0.4677  3 Ag 2.82, 3 Mg 3.07
4 Ag 0.7933 0.7933 0.7933  6 Mg 2.82-3.11, 1 Ca 3.08

(4)
This record from Alexandria describes DyErGe after structural relaxation. The functional is GGA-PBE.

Properties
total DFT energy (no corrections) = -5.205 eV per atom
energy of formation from the pure elements = -0.611 eV/atom
size of the total moment = 0.00 μB/f.u.
SG = P4/nmm

Lattice parameters (Å, degrees): 4.3336 4.3336 8.0716 90.00 90.00 90.00
Closest atoms and distances in Å follow each position.
Sites, in units of the cell vectors:
1 Dy 0.2500 0.2500 0.1455  5 Ge 2.98-3.13
2 Dy 0.7500 0.7500 0.8545  5 Ge 2.98-3.13
3 Er 0.2500 0.7500 0.5000  4 Er 3.06, 4 Ge 3.11
4 Er 0.7500 0.2500 0.5000  4 Er 3.06, 4 Ge 3.11
5 Ge 0.2500 0.2500 0.7763  5 Dy 2.98-3.13, 4 Er 3.11
6 Ge 0.7500 0.7500 0.2237  5 Dy 2.98-3.13, 4 Er 3.11

(5)
This record from Alexandria describes K4Tl2Au after structural relaxation. The functional is GGA-PBE.

Properties
total DFT energy (no corrections) = -1.913 eV per atom
energy of formation from the pure elements = -0.142 eV/atom
size of the total moment = 0.00 μB/f.u.
SG = P-1

Lattice parameters (Å, degrees): 7.5469 8.3558 10.8592 72.26 71.50 63.26
Closest atoms and distances in Å follow each position.
Sites, in units of the cell vectors:
1 K 0.0021 0.2351 0.2700  2 Au 3.39-3.49, 1 Tl 3.71
2 K 0.0087 0.2714 0.6556  1 Au 3.57, 3 Tl 3.73-3.93
3 K 0.4088 0.2374 0.8649  2 Au 3.35-3.51, 1 Tl 3.68
4 K 0.4912 0.6977 0.8091  2 Au 3.46-3.51, 2 Tl 3.78-3.82, 1 K 3.84
5 K 0.5088 0.3023 0.1909  2 Au 3.46-3.51, 2 Tl 3.78-3.82, 1 K 3.84
6 K 0.5912 0.7626 0.1351  2 Au 3.35-3.51, 1 Tl 3.68
7 K 0.9913 0.7286 0.3444  1 Au 3.57, 3 Tl 3.73-3.93
8 K 0.9979 0.7649 0.7300  2 Au 3.39-3.49, 1 Tl 3.71
9 Tl 0.0000 0.0000 0.0000  2 Au 3.03
10 Tl 0.3971 0.9027 0.4582  2 Tl 3.01-3.15
11 Tl 0.5000 0.5000 0.5000  2 Tl 3.01
12 Tl 0.6029 0.0973 0.5418  2 Tl 3.01-3.15
13 Au 0.0979 0.5962 0.0375  1 Au 3.02, 1 Tl 3.03, 1 K 3.35
14 Au 0.9021 0.4038 0.9625  1 Au 3.02, 1 Tl 3.03, 1 K 3.35

(6)
This record from Alexandria describes NaPmSmMg after structural relaxation. The functional is GGA-PBE.

Properties
total DFT energy (no corrections) = -2.949 eV per atom
energy of formation from the pure elements = 0.147 eV/atom
size of the total moment = 0.00 μB/f.u.
SG = F-43m

Lattice parameters (Å, degrees): 5.5800 5.5800 5.5800 60.00 60.00 60.00
Closest atoms and distances in Å follow each position.
Sites, in units of the cell vectors:
1 Na 0.0000 0.0000 0.0000  4 Pm 3.42, 4 Sm 3.42
2 Pm 0.7500 0.7500 0.7500  4 Na 3.42, 4 Mg 3.42
3 Sm 0.2500 0.2500 0.2500  4 Na 3.42, 4 Mg 3.42
4 Mg 0.5000 0.5000 0.5000  4 Pm 3.42, 4 Sm 3.42

(7)
This record from Alexandria describes ErZn3Pd3 after structural relaxation. The functional is GGA-PBE.

Properties
total DFT energy (no corrections) = -3.409 eV per atom
energy of formation from the pure elements = 0.014 eV/atom
size of the total moment = 0.00 μB/f.u.
SG = Pm-3n

Lattice parameters (Å, degrees): 6.7605 6.7605 6.7605 90.00 90.00 90.00
Closest atoms and distances in Å follow each position.
Sites, in units of the cell vectors:
1 Er 0.0000 0.0000 0.0000  12 Pd 3.78, 12 Zn 3.78
2 Er 0.5000 0.5000 0.5000  12 Pd 3.78, 12 Zn 3.78
3 Zn 0.0000 0.2500 0.5000  4 Pd 2.39
4 Zn 0.0000 0.7500 0.5000  4 Pd 2.39
5 Zn 0.2500 0.5000 0.0000  4 Pd 2.39
6 Zn 0.5000 0.0000 0.2500  4 Pd 2.39
7 Zn 0.5000 0.0000 0.7500  4 Pd 2.39
8 Zn 0.7500 0.5000 0.0000  4 Pd 2.39
9 Pd 0.0000 0.5000 0.2500  4 Zn 2.39
10 Pd 0.0000 0.5000 0.7500  4 Zn 2.39
11 Pd 0.2500 0.0000 0.5000  4 Zn 2.39
12 Pd 0.5000 0.2500 0.0000  4 Zn 2.39
13 Pd 0.5000 0.7500 0.0000  4 Zn 2.39
14 Pd 0.7500 0.0000 0.5000  4 Zn 2.39

(8)
This record from Alexandria describes CaAcPtAu after structural relaxation. The functional is GGA-PBE.

Properties
total DFT energy (no corrections) = -4.819 eV per atom
energy of formation from the pure elements = -0.962 eV/atom
size of the total moment = 0.00 μB/f.u.
SG = Amm2

Lattice parameters (Å, degrees): 4.5113 6.1357 6.1357 39.55 90.00 90.00
Closest atoms and distances in Å follow each position.
Sites, in units of the cell vectors:
1 Ca 0.0000 0.0000 0.0000  4 Au 3.13, 3 Pt 3.14-3.36
2 Ac 0.5000 0.7247 0.7247  4 Pt 3.11, 3 Au 3.23-3.28
3 Pt 0.0000 0.2717 0.2717  2 Au 3.02, 4 Ac 3.11, 3 Ca 3.14-3.36
4 Au 0.5000 0.4450 0.4450  2 Pt 3.02, 4 Ca 3.13, 3 Ac 3.23-3.28

(9)
This record from Alexandria describes Sc6TlCd12 after structural relaxation. The functional is GGA-PBE.

Properties
total DFT energy (no corrections) = -2.821 eV per atom
energy of formation from the pure elements = -0.119 eV/atom
size of the total moment = 0.00 μB/f.u.
SG = R-3

Lattice parameters (Å, degrees): 7.6151 7.6151 7.6151 92.65 92.65 92.65
Closest atoms and distances in Å follow each position.
Sites, in units of the cell vectors:
1 Sc 0.2191 0.7683 0.3856  8 Cd 2.98-3.23, 1 Tl 3.15, 2 Sc 3.28
2 Sc 0.2317 0.6144 0.7809  8 Cd 2.98-3.23, 1 Tl 3.15, 2 Sc 3.28
3 Sc 0.3856 0.2191 0.7683  8 Cd 2.98-3.23, 1 Tl 3.15, 2 Sc 3.28
4 Sc 0.6144 0.7809 0.2317  8 Cd 2.98-3.23, 1 Tl 3.15, 2 Sc 3.28
5 Sc 0.7683 0.3856 0.2191  8 Cd 2.98-3.23, 1 Tl 3.15, 2 Sc 3.28
6 Sc 0.7809 0.2317 0.6144  8 Cd 2.98-3.23, 1 Tl 3.15, 2 Sc 3.28
7 Tl 0.5000 0.5000 0.5000  6 Cd 3.07, 6 Sc 3.15
8 Cd 0.0378 0.2932 0.9346  3 Cd 2.91-3.01, 4 Sc 3.05-3.13
9 Cd 0.0654 0.9622 0.7068  3 Cd 2.91-3.01, 4 Sc 3.05-3.13
10 Cd 0.1190 0.3472 0.4636  2 Cd 2.91-3.06, 4 Sc 2.98-3.23, 1 Tl 3.07
11 Cd 0.2932 0.9346 0.0378  3 Cd 2.91-3.01, 4 Sc 3.05-3.13
12 Cd 0.3472 0.4636 0.1190  2 Cd 2.91-3.06, 4 Sc 2.98-3.23, 1 Tl 3.07
13 Cd 0.4636 0.1190 0.3472  2 Cd 2.91-3.06, 4 Sc 2.98-3.23, 1 Tl 3.07
14 Cd 0.5364 0.8810 0.6528  2 Cd 2.91-3.06, 4 Sc 2.98-3.23, 1 Tl 3.07
15 Cd 0.6528 0.5364 0.8810  2 Cd 2.91-3.06, 4 Sc 2.98-3.23, 1 Tl 3.07
16 Cd 0.7068 0.0654 0.9622  3 Cd 2.91-3.01, 4 Sc 3.05-3.13
17 Cd 0.8810 0.6528 0.5364  2 Cd 2.91-3.06, 4 Sc 2.98-3.23, 1 Tl 3.07
18 Cd 0.9346 0.0378 0.2932  3 Cd 2.91-3.01, 4 Sc 3.05-3.13
19 Cd 0.9622 0.7068 0.0654  3 Cd 2.91-3.01, 4 Sc 3.05-3.13

(10)
This record from Alexandria describes Cr3Rh after structural relaxation. The functional is GGA-PBE.

Properties
total DFT energy (no corrections) = -8.906 eV per atom
energy of formation from the pure elements = 0.150 eV/atom
size of the total moment = 0.00 μB/f.u.
SG = C2/m

Lattice parameters (Å, degrees): 4.4877 4.4877 4.5389 98.41 98.41 33.41
Closest atoms and distances in Å follow each position.
Sites, in units of the cell vectors:
1 Cr 0.0000 0.0000 0.0000  8 Cr 2.53-2.64, 4 Rh 2.61
2 Cr 0.2454 0.2454 0.7548  9 Cr 2.53-2.66, 3 Rh 2.59-2.63
3 Cr 0.7546 0.7546 0.2452  9 Cr 2.53-2.66, 3 Rh 2.59-2.63
4 Rh 0.5000 0.5000 0.5000  2 Rh 2.58, 10 Cr 2.59-2.63